Entry from Alexandria via LeMat-Bulk: an optimized crystal structure of CaCr (PBE).

Unit cell a=6.7702 b=6.7702 c=6.7702 alpha=90.00 beta=90.00 gamma=90.00
Space group Fd-3m (No. 227, origin choice 2)
One atom of each set of equivalent atoms:
1 Ca 0.1250 0.1250 0.1250 x8
2 Cr 0.1250 0.1250 0.6250 x8

Values from the calculation:
excess energy over the best structure of this formula in the dataset = 769 meV/atom
magnetization = 0.00 μB/f.u.

---

Entry from Alexandria via LeMat-Bulk: an optimized crystal structure of Ca5Cr4 (PBE).

Unit cell a=9.5651 b=9.5651 c=6.6484 alpha=90.00 beta=90.00 gamma=120.00
Space group P6_3/mcm (No. 193)
One atom of each set of equivalent atoms:
1 Ca 0.0000 0.2887 0.2500 x6
2 Ca 0.3333 0.6667 0.0000 x4
3 Cr 0.0000 0.0000 0.0000 x2
4 Cr 0.0000 0.3701 0.7500 x6

Values from the calculation:
magnetization = 18.73 μB/f.u.

---

Entry from Alexandria via LeMat-Bulk: an optimized crystal structure of CaCr (PBE).

Unit cell a=3.3402 b=3.3402 c=28.4874 alpha=90.00 beta=90.00 gamma=120.00
Space group R-3m (No. 166, hexagonal axes)
One atom of each set of equivalent atoms:
1 Ca 0.0000 0.0000 0.1065 x6
2 Cr 0.0000 0.0000 0.3548 x6

Values from the calculation:
excess energy over the best structure of this formula in the dataset = 390 meV/atom
magnetization = 0.00 μB/f.u.

---

Entry from Alexandria via LeMat-Bulk: an optimized crystal structure of CaCr (PBE).

Unit cell a=3.4148 b=5.5816 c=5.6434 alpha=90.00 beta=90.00 gamma=90.00
Space group Pmmn (No. 59, origin choice 2)
One atom of each set of equivalent atoms:
1 Ca 0.2500 0.2500 0.1276 x2
2 Cr 0.2500 0.7500 0.3913 x2

Values from the calculation:
excess energy over the best structure of this formula in the dataset = 459 meV/atom
magnetization = 4.36 μB/f.u.

---

Entry from Alexandria via LeMat-Bulk: an optimized crystal structure of Ca5Cr (PBE).

Unit cell a=6.8755 b=6.8755 c=6.3255 alpha=90.00 beta=90.00 gamma=120.00
Space group P6/mmm (No. 191)
One atom of each set of equivalent atoms:
1 Ca 0.0000 0.5000 0.0000 x3
2 Ca 0.3333 0.6667 0.5000 x2
3 Cr 0.0000 0.0000 0.5000 x1

Values from the calculation:
excess energy over the best structure of this formula in the dataset = 425 meV/atom
magnetization = 5.09 μB/f.u.

---

Entry from Alexandria via LeMat-Bulk: an optimized crystal structure of CaCr (PBE).

Unit cell a=3.2046 b=3.2046 c=8.7448 alpha=90.00 beta=90.00 gamma=90.00
Space group P4/nmm (No. 129, origin choice 2)
One atom of each set of equivalent atoms:
1 Ca 0.2500 0.2500 0.1974 x2
2 Cr 0.2500 0.2500 0.5421 x2

Values from the calculation:
excess energy over the best structure of this formula in the dataset = 112 meV/atom
magnetization = 0.00 μB/f.u.

---

Entry from Alexandria via LeMat-Bulk: an optimized crystal structure of Ca4Cr (PBE).

Unit cell a=7.3991 b=7.3991 c=7.3991 alpha=90.00 beta=90.00 gamma=90.00
Space group Im-3m (No. 229)
One atom of each set of equivalent atoms:
1 Ca 0.2500 0.2500 0.2500 x8
2 Cr 0.0000 0.0000 0.0000 x2

Values from the calculation:
excess energy over the best structure of this formula in the dataset = 55 meV/atom
magnetization = 4.04 μB/f.u.

---

Entry from Alexandria via LeMat-Bulk: an optimized crystal structure of Ca5Cr (PBE).

Unit cell a=6.4820 b=6.4820 c=5.9686 alpha=90.00 beta=90.00 gamma=120.00
Space group P-62m (No. 189)
One atom of each set of equivalent atoms:
1 Ca 0.0000 0.6845 0.0000 x3
2 Ca 0.3333 0.6667 0.5000 x2
3 Cr 0.0000 0.0000 0.5000 x1

Values from the calculation:
excess energy over the best structure of this formula in the dataset = 38 meV/atom
magnetization = 5.27 μB/f.u.

---

Values of energy relative to the elements, in order: 1.168; 0.692; 0.789; 0.859; 0.668; 0.511; 0.514; 0.281, all in eV per atom.
Values of E_tot, in order: -4.6442; -4.6969; -5.0232; -4.9539; -2.6040; -5.3011; -3.0117; -2.9912, all in eV per atom.
Values of V, in order: 19.39; 29.27; 22.94; 26.89; 43.16; 22.45; 40.51; 36.20, all in Å³ per atom.